! PBE PuAgPb2, optimized geometry; values from VASP
! ΔE_f   -68 meV/atom
! M_tot   5.633 μB/cell
! E above lowest polymorph   0 meV/atom
! SG   P4/mmm, No. 123
&SYSTEM
  ibrav = 0, nat = 4, ntyp = 3
/
ATOMIC_SPECIES
Pb 207.20 Pb.upf
Ag 107.87 Ag.upf
Pu 244.00 Pu.upf
ATOMIC_POSITIONS crystal
Pb 0.000 0.500 0.000
Pb 0.000 0.000 0.500
Ag 0.500 0.000 0.000
Pu 0.500 0.500 0.500
CELL_PARAMETERS angstrom
-2.887 2.059 2.761
-3.017 0.707 -3.682
-2.122 -4.219 0.928

! PBE PrHo7Tm12, optimized geometry; values from VASP
! ΔE_f   244 meV/atom
! M_tot   0.000 μB/cell
! E above lowest polymorph   0 meV/atom
! SG   R-3, No. 148
&SYSTEM
  ibrav = 0, nat = 20, ntyp = 3
/
ATOMIC_SPECIES
Tm 168.93 Tm.upf
Ho 164.93 Ho.upf
Pr 140.91 Pr.upf
ATOMIC_POSITIONS crystal
Tm 0.357 0.236 0.765
Tm 0.764 0.235 0.643
Tm 0.437 0.108 0.347
Tm 0.235 0.643 0.764
Tm 0.108 0.347 0.437
Tm 0.765 0.357 0.236
Tm 0.347 0.437 0.108
Tm 0.892 0.653 0.563
Tm 0.653 0.563 0.892
Tm 0.236 0.765 0.357
Tm 0.563 0.892 0.653
Tm 0.643 0.764 0.235
Ho 0.001 0.368 0.877
Ho 0.123 0.999 0.632
Ho 0.500 0.500 0.500
Ho 0.632 0.123 0.999
Ho 0.368 0.877 0.001
Ho 0.999 0.632 0.123
Ho 0.877 0.001 0.368
Pr 0.000 0.000 0.000
CELL_PARAMETERS angstrom
8.347 1.185 1.778
-1.183 8.347 1.778
-1.183 -1.574 8.388

! PBE AcLa2Au4, optimized geometry; values from VASP
! ΔE_f   -804 meV/atom
! M_tot   0.000 μB/cell
! SG   I-42d, No. 122
&SYSTEM
  ibrav = 0, nat = 14, ntyp = 3
/
ATOMIC_SPECIES
Ac 227.00 Ac.upf
Au 196.97 Au.upf
La 138.91 La.upf
ATOMIC_POSITIONS crystal
Ac 0.000 0.000 0.000
Ac 0.250 0.750 0.500
Au 0.033 0.607 0.747
Au 0.714 0.967 0.574
Au 0.217 0.463 0.074
Au 0.537 0.611 0.753
Au 0.857 0.783 0.247
Au 0.389 0.143 0.926
Au 0.861 0.287 0.253
Au 0.393 0.139 0.426
La 0.491 0.875 0.116
La 0.625 0.509 0.384
La 0.125 0.241 0.616
La 0.759 0.375 0.884
CELL_PARAMETERS angstrom
7.619 0.458 -2.449
-3.929 6.544 -2.450
-0.244 -0.462 7.999

! PBE CrBWSe2, optimized geometry; values from VASP
! ΔE_f (raw)   1334 meV/atom
! M_tot   1.579 μB/cell
! SG   P4/mmm, No. 123
&SYSTEM
  ibrav = 0, nat = 5, ntyp = 4
/
ATOMIC_SPECIES
Cr 52.00 Cr.upf
Se 78.96 Se.upf
W 183.84 W.upf
B 10.81 B.upf
ATOMIC_POSITIONS crystal
Cr 0.000 0.000 0.000
Se 0.500 0.000 0.000
Se 0.000 0.000 0.500
W 0.500 0.500 0.500
B 0.000 0.500 0.000
CELL_PARAMETERS angstrom
-2.449 4.044 0.243
-2.512 -1.375 -2.421
-2.522 -1.744 3.607

! PBE TaV6Rh, optimized geometry; values from VASP
! ΔE_f   22 meV/atom
! M_tot   0.000 μB/cell
! SG   C2/m, No. 12
&SYSTEM
  ibrav = 0, nat = 8, ntyp = 3
/
ATOMIC_SPECIES
V 50.94 V.upf
Ta 180.95 Ta.upf
Rh 102.91 Rh.upf
ATOMIC_POSITIONS crystal
V 0.246 0.495 0.991
V 0.754 0.505 0.009
V 0.754 0.503 0.503
V 0.754 0.009 0.505
V 0.246 0.497 0.497
V 0.246 0.991 0.495
Ta 0.000 0.000 0.000
Rh 0.500 0.000 0.000
CELL_PARAMETERS angstrom
5.051 0.381 -0.826
-1.271 4.448 -2.239
0.287 -0.244 5.126

! PBE Pm6NdY3, optimized geometry; values from VASP
! ΔE_f   125 meV/atom
! M_tot   0.000 μB/cell
! E above lowest polymorph   0 meV/atom
! SG   Cmc2_1, No. 36
&SYSTEM
  ibrav = 0, nat = 20, ntyp = 3
/
ATOMIC_SPECIES
Pm 145.00 Pm.upf
Y 88.91 Y.upf
Nd 144.24 Nd.upf
ATOMIC_POSITIONS crystal
Pm 0.572 0.261 0.379
Pm 0.572 0.621 0.739
Pm 0.828 0.893 0.455
Pm 0.328 0.455 0.893
Pm 0.296 0.700 0.300
Pm 0.328 0.107 0.545
Pm 0.811 0.016 0.984
Pm 0.796 0.300 0.700
Pm 0.311 0.984 0.016
Pm 0.828 0.545 0.107
Pm 0.072 0.379 0.261
Pm 0.072 0.739 0.621
Y 0.093 0.419 0.581
Y 0.988 0.705 0.957
Y 0.488 0.957 0.705
Y 0.988 0.043 0.295
Y 0.593 0.581 0.419
Y 0.488 0.295 0.043
Nd 0.009 0.159 0.841
Nd 0.509 0.841 0.159
CELL_PARAMETERS angstrom
-1.847 -2.925 -5.470
11.222 -2.885 -2.246
-8.374 -5.822 5.940

! PBE Y3Al5, optimized geometry; values from VASP
! ΔE_f   -187 meV/atom
! M_tot   0.000 μB/cell
! E above lowest polymorph   166 meV/atom
! SG   P6_3/mcm, No. 193
&SYSTEM
  ibrav = 0, nat = 16, ntyp = 2
/
ATOMIC_SPECIES
Al 26.98 Al.upf
Y 88.91 Y.upf
ATOMIC_POSITIONS crystal
Al 0.000 0.165 0.250
Al 0.835 0.000 0.750
Al 0.000 0.835 0.750
Al 0.333 0.667 0.000
Al 0.667 0.333 0.500
Al 0.165 0.165 0.750
Al 0.667 0.333 0.000
Al 0.165 0.000 0.250
Al 0.333 0.667 0.500
Al 0.835 0.835 0.250
Y 0.000 0.631 0.250
Y 0.369 0.369 0.250
Y 0.000 0.369 0.750
Y 0.631 0.631 0.750
Y 0.631 0.000 0.250
Y 0.369 0.000 0.750
CELL_PARAMETERS angstrom
-4.376 4.717 7.007
-4.945 -5.942 -5.543
0.958 -3.642 3.050

! PBE Cs3Pr2SnTe6, optimized geometry; values from VASP
! ΔE_f (raw)   -1105 meV/atom
! M_tot   0.000 μB/cell
! SG   C2/m, No. 12
&SYSTEM
  ibrav = 0, nat = 12, ntyp = 4
/
ATOMIC_SPECIES
Te 127.60 Te.upf
Cs 132.91 Cs.upf
Pr 140.91 Pr.upf
Sn 118.71 Sn.upf
ATOMIC_POSITIONS crystal
Te 0.739 0.739 0.193
Te 0.610 0.936 0.808
Te 0.390 0.064 0.192
Te 0.936 0.610 0.808
Te 0.064 0.390 0.192
Te 0.261 0.261 0.807
Cs 0.831 0.169 0.500
Cs 0.169 0.831 0.500
Cs 0.500 0.500 0.500
Pr 0.334 0.666 0.000
Pr 0.666 0.334 0.000
Sn 0.000 0.000 0.000
CELL_PARAMETERS angstrom
-1.390 0.877 -7.948
7.524 -1.470 2.664
-3.510 -8.576 1.052

! PBE La7Sn2Sb2, optimized geometry; values from VASP
! ΔE_f (raw)   -552 meV/atom
! M_tot   0.002 μB/cell
! SG   Cmmm, No. 65
&SYSTEM
  ibrav = 0, nat = 11, ntyp = 3
/
ATOMIC_SPECIES
La 138.91 La.upf
Sb 121.76 Sb.upf
Sn 118.71 Sn.upf
ATOMIC_POSITIONS crystal
La 0.500 0.742 0.500
La 0.500 0.293 0.000
La 0.000 0.707 0.500
La 0.500 0.258 0.500
La 0.000 0.293 0.500
La 0.000 0.000 0.000
La 0.500 0.707 0.000
Sb 0.727 0.000 0.273
Sb 0.273 0.000 0.727
Sn 0.173 0.500 0.173
Sn 0.827 0.500 0.827
CELL_PARAMETERS angstrom
7.405 -0.003 -0.774
0.003 7.345 0.003
-1.234 -0.003 7.343

! PBE CsHg2GeIr, optimized geometry; values from VASP
! ΔE_f   -155 meV/atom
! M_tot   0.000 μB/cell
! SG   P4/mmm, No. 123
&SYSTEM
  ibrav = 0, nat = 5, ntyp = 4
/
ATOMIC_SPECIES
Ge 72.64 Ge.upf
Hg 200.59 Hg.upf
Cs 132.91 Cs.upf
Ir 192.22 Ir.upf
ATOMIC_POSITIONS crystal
Ge 0.000 0.000 0.500
Hg 0.000 0.500 0.000
Hg 0.500 0.000 0.000
Cs 0.500 0.500 0.500
Ir 0.000 0.000 0.000
CELL_PARAMETERS angstrom
-2.475 -1.401 4.699
4.603 -2.478 1.686
1.460 4.059 1.979

! PBE LiHgCl2, optimized geometry; values from VASP
! ΔE_f (raw)   -954 meV/atom
! M_tot   0.000 μB/cell
! E above lowest polymorph   0 meV/atom
! SG   Pm, No. 6
&SYSTEM
  ibrav = 0, nat = 4, ntyp = 3
/
ATOMIC_SPECIES
Cl 35.45 Cl.upf
Li 6.94 Li.upf
Hg 200.59 Hg.upf
ATOMIC_POSITIONS crystal
Cl 0.500 0.306 0.235
Cl 0.000 0.908 0.895
Li 0.500 0.884 0.977
Hg 0.000 0.402 0.393
CELL_PARAMETERS angstrom
5.958 0.000 0.000
0.000 4.155 -0.024
0.000 1.197 4.365

! PBE CoN, optimized geometry; values from VASP
! ΔE_f (raw)   430 meV/atom
! M_tot   0.000 μB/cell
! E above lowest polymorph   325 meV/atom
! SG   Ama2, No. 40
&SYSTEM
  ibrav = 0, nat = 4, ntyp = 2
/
ATOMIC_SPECIES
Co 58.93 Co.upf
N 14.01 N.upf
ATOMIC_POSITIONS crystal
Co 0.302 0.606 0.750
Co 0.606 0.302 0.250
N 0.490 0.114 0.750
N 0.114 0.490 0.250
CELL_PARAMETERS angstrom
3.564 -0.457 0.000
-0.462 3.563 0.000
0.000 0.000 3.394

! PBE Sb3MoS, optimized geometry; values from VASP
! ΔE_f (raw)   474 meV/atom
! M_tot   0.000 μB/cell
! E above lowest polymorph   0 meV/atom
! SG   Pm-3m, No. 221
&SYSTEM
  ibrav = 0, nat = 5, ntyp = 3
/
ATOMIC_SPECIES
S 32.06 S.upf
Sb 121.76 Sb.upf
Mo 95.94 Mo.upf
ATOMIC_POSITIONS crystal
S 0.500 0.500 0.500
Sb 0.000 0.500 0.000
Sb 0.500 0.000 0.000
Sb 0.000 0.000 0.500
Mo 0.000 0.000 0.000
CELL_PARAMETERS angstrom
-3.565 3.494 1.296
-2.711 -3.663 2.415
2.557 0.989 4.368

! PBE Tb2GeAs, optimized geometry; values from VASP
! ΔE_f   -475 meV/atom
! M_tot   0.000 μB/cell
! E above lowest polymorph   723 meV/atom
! SG   R-3m, No. 166
&SYSTEM
  ibrav = 0, nat = 4, ntyp = 3
/
ATOMIC_SPECIES
As 74.92 As.upf
Tb 158.93 Tb.upf
Ge 72.64 Ge.upf
ATOMIC_POSITIONS crystal
As 0.500 0.500 0.500
Tb 0.895 0.895 0.315
Tb 0.105 0.105 0.685
Ge 0.000 0.000 0.000
CELL_PARAMETERS angstrom
3.909 0.000 0.000
1.954 3.385 0.000
1.954 1.128 9.227

! PBE Ca3Si4, optimized geometry; values from VASP
! ΔE_f (raw)   -396 meV/atom
! M_tot   0.000 μB/cell
! E above lowest polymorph   76 meV/atom
! SG   Cmcm, No. 63
&SYSTEM
  ibrav = 0, nat = 14, ntyp = 2
/
ATOMIC_SPECIES
Si 28.09 Si.upf
Ca 40.08 Ca.upf
ATOMIC_POSITIONS crystal
Si 0.001 0.002 0.000
Si 0.574 0.148 0.902
Si 0.001 0.002 0.500
Si 0.700 0.401 0.750
Si 0.428 0.857 0.402
Si 0.574 0.148 0.598
Si 0.428 0.857 0.098
Si 0.302 0.604 0.250
Ca 0.716 0.432 0.401
Ca 0.286 0.572 0.600
Ca 0.286 0.572 0.901
Ca 0.716 0.432 0.100
Ca 0.010 0.021 0.250
Ca 0.992 0.984 0.750
CELL_PARAMETERS angstrom
-0.186 3.919 1.738
-3.709 -0.608 -4.324
-9.306 -4.247 8.582

! PBE GaCuGe, optimized geometry; values from VASP
! ΔE_f   69 meV/atom
! M_tot   0.000 μB/cell
! SG   C2/m, No. 12
&SYSTEM
  ibrav = 0, nat = 6, ntyp = 3
/
ATOMIC_SPECIES
Cu 63.55 Cu.upf
Ge 72.64 Ge.upf
Ga 69.72 Ga.upf
ATOMIC_POSITIONS crystal
Cu 0.915 0.642 0.322
Cu 0.916 0.147 0.824
Ge 0.640 0.646 0.822
Ge 0.191 0.144 0.324
Ga 0.201 0.647 0.822
Ga 0.630 0.144 0.324
CELL_PARAMETERS angstrom
5.803 0.026 0.002
-0.025 4.131 0.000
0.001 0.000 4.128

! PBE MgFeTcSb2, optimized geometry; values from VASP
! ΔE_f (raw)   656 meV/atom
! M_tot   3.144 μB/cell
! SG   P4/mmm, No. 123
&SYSTEM
  ibrav = 0, nat = 5, ntyp = 4
/
ATOMIC_SPECIES
Fe 55.84 Fe.upf
Sb 121.76 Sb.upf
Tc 98.00 Tc.upf
Mg 24.30 Mg.upf
ATOMIC_POSITIONS crystal
Fe 0.000 0.500 0.000
Sb 0.500 0.000 0.000
Sb 0.000 0.000 0.500
Tc 0.000 0.000 0.000
Mg 0.500 0.500 0.500
CELL_PARAMETERS angstrom
5.115 0.000 0.000
0.000 4.829 0.000
0.000 0.000 5.115

! PBE Ba2AlCu, optimized geometry; values from VASP
! ΔE_f   114 meV/atom
! M_tot   0.000 μB/cell
! SG   P4mm, No. 99
&SYSTEM
  ibrav = 0, nat = 4, ntyp = 3
/
ATOMIC_SPECIES
Al 26.98 Al.upf
Ba 137.33 Ba.upf
Cu 63.55 Cu.upf
ATOMIC_POSITIONS crystal
Al 0.500 0.500 0.672
Ba 0.000 0.000 0.919
Ba 0.500 0.500 0.332
Cu 0.000 0.000 0.577
CELL_PARAMETERS angstrom
3.716 0.000 0.000
0.000 3.716 0.000
0.000 0.000 9.626

! PBE K2ZrSe, optimized geometry; values from VASP
! ΔE_f (raw)   -151 meV/atom
! M_tot   2.683 μB/cell
! SG   Imm2, No. 44
&SYSTEM
  ibrav = 0, nat = 4, ntyp = 3
/
ATOMIC_SPECIES
Zr 91.22 Zr.upf
K 39.10 K.upf
Se 78.96 Se.upf
ATOMIC_POSITIONS crystal
Zr 0.671 0.171 0.500
K 0.309 0.809 0.500
K 0.994 0.994 0.000
Se 0.526 0.526 0.000
CELL_PARAMETERS angstrom
7.456 0.017 0.001
3.940 6.330 -0.001
-4.860 -4.679 3.176

! PBE Sr8Hg2Au, optimized geometry; values from VASP
! ΔE_f   -316 meV/atom
! M_tot   0.000 μB/cell
! E above lowest polymorph   7 meV/atom
! SG   C2/m, No. 12
&SYSTEM
  ibrav = 0, nat = 11, ntyp = 3
/
ATOMIC_SPECIES
Sr 87.62 Sr.upf
Au 196.97 Au.upf
Hg 200.59 Hg.upf
ATOMIC_POSITIONS crystal
Sr 0.340 0.030 0.680
Sr 0.788 0.679 0.575
Sr 0.660 0.970 0.320
Sr 0.967 0.203 0.935
Sr 0.409 0.567 0.817
Sr 0.591 0.433 0.183
Sr 0.033 0.797 0.065
Sr 0.212 0.321 0.425
Au 0.500 0.000 0.000
Hg 0.186 0.726 0.373
Hg 0.814 0.274 0.627
CELL_PARAMETERS angstrom
-2.990 1.944 4.404
5.505 -2.571 4.873
4.259 8.687 -4.590